Tb2CoBi: optimized geometry, PBE-GGA.

Unit cell a=9.7810 b=9.7810 c=9.7810 alpha=22.10 beta=22.10 gamma=22.10
Closest atoms and distances in Å follow each position.
Element x y z (fractional)
1 Tb 0.1136 0.1136 0.1136  3 Co 2.64
2 Tb 0.8864 0.8864 0.8864  3 Co 2.64
3 Co 0.5000 0.5000 0.5000  6 Tb 2.64
4 Bi 0.0000 0.0000 0.0000  2 Tb 3.25

Output
relative energy among the computed polymorphs: 361 meV/atom
energy of formation: -36 kJ/mol of formula units
E: -20.62 eV for the cell shown

---

CaSc2P: optimized geometry, PBE-GGA.

Unit cell a=11.0755 b=11.0755 c=11.0755 alpha=17.62 beta=17.62 gamma=17.62
Closest atoms and distances in Å follow each position.
Element x y z (fractional)
1 Ca 0.0000 0.0000 0.0000  6 Ca 3.39, 6 Sc 3.53
2 Sc 0.4233 0.4233 0.4233  1 P 2.51
3 Sc 0.5767 0.5767 0.5767  1 P 2.51
4 P 0.5000 0.5000 0.5000  2 Sc 2.51

Output
energy of formation: 108 kJ/mol of formula units
E: -18.95 eV for the cell shown

---

TlReAg: optimized geometry, PBE-GGA.

Unit cell a=7.8396 b=7.6496 c=2.8582 alpha=83.14 beta=75.64 gamma=21.22
Closest atoms and distances in Å follow each position.
Element x y z (fractional)
1 Tl 0.0000 0.0000 0.0000  4 Tl 2.86, 2 Re 2.98, 2 Ag 3.11
2 Re 0.3329 0.3329 0.6671  2 Ag 2.83, 4 Re 2.86, 2 Tl 2.98
3 Ag 0.6779 0.6779 0.3221  2 Re 2.83, 4 Ag 2.86, 2 Tl 3.11

Output
relative energy among the computed polymorphs: 50 meV/atom
energy of formation: 253 kJ/mol of formula units
E: -15.04 eV for the cell shown

---

CaHf: optimized geometry, PBE-GGA.

Unit cell a=17.0107 b=3.2250 c=6.3998 alpha=90.00 beta=90.00 gamma=90.00
Closest atoms and distances in Å follow each position.
Element x y z (fractional)
1 Ca 0.0000 0.0551 0.0000  6 Hf 3.19-3.39, 4 Ca 3.22-3.45
2 Ca 0.1842 0.9875 0.7754  3 Ca 3.22-3.45, 4 Hf 3.54-3.60
3 Ca 0.3158 0.0125 0.2754  3 Ca 3.22-3.45, 4 Hf 3.54-3.60
4 Ca 0.5000 0.9449 0.5000  6 Hf 3.19-3.39, 4 Ca 3.22-3.45
5 Ca 0.6842 0.0125 0.2754  3 Ca 3.22-3.45, 4 Hf 3.54-3.60
6 Ca 0.8158 0.9875 0.7754  3 Ca 3.22-3.45, 4 Hf 3.54-3.60
7 Hf 0.0000 0.0072 0.4979  6 Hf 3.00-3.22, 2 Ca 3.19-3.22
8 Hf 0.1291 0.5149 0.2984  4 Hf 3.00-3.22, 1 Ca 3.27
9 Hf 0.3709 0.4851 0.7984  4 Hf 3.00-3.22, 1 Ca 3.27
10 Hf 0.5000 0.9928 0.9979  6 Hf 3.00-3.22, 2 Ca 3.19-3.22
11 Hf 0.6291 0.4851 0.7984  4 Hf 3.00-3.22, 1 Ca 3.27
12 Hf 0.8709 0.5149 0.2984  4 Hf 3.00-3.22, 1 Ca 3.27

Output
relative energy among the computed polymorphs: 66 meV/atom
energy of formation: 87 kJ/mol of formula units
E: -66.31 eV for the cell shown

---

Fe2ReB: optimized geometry, PBE-GGA.

Unit cell a=2.5817 b=2.5817 c=6.1676 alpha=90.00 beta=90.00 gamma=90.00
Closest atoms and distances in Å follow each position.
Element x y z (fractional)
1 Fe 0.0000 0.0000 0.1933  4 B 2.18, 1 Fe 2.38
2 Fe 0.0000 0.0000 0.8067  4 B 2.18, 1 Fe 2.38
3 Re 0.5000 0.5000 0.5000  4 Re 2.58, 8 Fe 2.63
4 B 0.5000 0.5000 0.0000  8 Fe 2.18

Output
energy of formation: -17 kJ/mol of formula units
E: -36.23 eV for the cell shown

---

HgS4Cl: optimized geometry, PBE-GGA.

Unit cell a=5.0000 b=5.8931 c=13.5279 alpha=87.62 beta=79.43 gamma=77.27
Closest atoms and distances in Å follow each position.
Element x y z (fractional)
1 Hg 0.1984 0.2503 0.1010  2 S 2.52, 2 Cl 2.76
2 Hg 0.8016 0.7497 0.8990  2 S 2.52, 2 Cl 2.76
3 S 0.0297 0.6870 0.1017  1 S 1.99
4 S 0.3661 0.8139 0.1018  1 S 1.99
5 S 0.3710 0.1231 0.5597  1 S 1.96
6 S 0.4336 0.6227 0.4397  1 S 1.96
7 S 0.5664 0.3773 0.5603  1 S 1.96
8 S 0.6290 0.8769 0.4403  1 S 1.96
9 S 0.6339 0.1861 0.8982  1 S 1.99
10 S 0.9703 0.3130 0.8983  1 S 1.99
11 Cl 0.3457 0.7497 0.8107  2 Hg 2.76
12 Cl 0.6543 0.2503 0.1893  2 Hg 2.76

Output
ΔE_f (raw): -0.008 eV/atom
E: -37.41 eV for the cell shown

---

Ti5Al2Tc2Mo: optimized geometry, PBE-GGA.

Unit cell a=8.9847 b=8.9847 c=4.0711 alpha=90.00 beta=90.00 gamma=90.00
Closest atoms and distances in Å follow each position.
Element x y z (fractional)
1 Ti 0.0000 0.5000 0.0000  4 Tc 2.58, 4 Ti 2.84
2 Ti 0.0866 0.1965 0.0000  2 Tc 2.62, 4 Ti 2.73-2.84, 2 Mo 2.80
3 Ti 0.1965 0.9134 0.0000  2 Tc 2.62, 4 Ti 2.73-2.84, 2 Mo 2.80
4 Ti 0.3035 0.4134 0.0000  2 Tc 2.62, 4 Ti 2.73-2.84, 2 Mo 2.80
5 Ti 0.4134 0.6965 0.0000  2 Tc 2.62, 4 Ti 2.73-2.84, 2 Mo 2.80
6 Ti 0.5000 0.0000 0.0000  4 Tc 2.58, 4 Ti 2.84
7 Ti 0.5866 0.3035 0.0000  2 Tc 2.62, 4 Ti 2.73-2.84, 2 Mo 2.80
8 Ti 0.6965 0.5866 0.0000  2 Tc 2.62, 4 Ti 2.73-2.84, 2 Mo 2.80
9 Ti 0.8035 0.0866 0.0000  2 Tc 2.62, 4 Ti 2.73-2.84, 2 Mo 2.80
10 Ti 0.9134 0.8035 0.0000  2 Tc 2.62, 4 Ti 2.73-2.84, 2 Mo 2.80
11 Al 0.1708 0.6708 0.5000  3 Tc 2.60-2.68
12 Al 0.3292 0.1708 0.5000  3 Tc 2.60-2.68
13 Al 0.6708 0.8292 0.5000  3 Tc 2.60-2.68
14 Al 0.8292 0.3292 0.5000  3 Tc 2.60-2.68
15 Tc 0.1243 0.3757 0.5000  6 Ti 2.58-2.62, 3 Al 2.60-2.68
16 Tc 0.3757 0.8757 0.5000  6 Ti 2.58-2.62, 3 Al 2.60-2.68
17 Tc 0.6243 0.1243 0.5000  6 Ti 2.58-2.62, 3 Al 2.60-2.68
18 Tc 0.8757 0.6243 0.5000  6 Ti 2.58-2.62, 3 Al 2.60-2.68
19 Mo 0.0000 0.0000 0.5000  8 Ti 2.80
20 Mo 0.5000 0.5000 0.5000  8 Ti 2.80

Output
energy of formation: -105 kJ/mol of formula units
E: -159.23 eV for the cell shown

---

KMoN3: optimized geometry, PBE-GGA.

Unit cell a=3.9579 b=3.9579 c=3.9579 alpha=90.00 beta=90.00 gamma=90.00
Closest atoms and distances in Å follow each position.
Element x y z (fractional)
1 K 0.0000 0.0000 0.0000  6 N 1.98
2 Mo 0.5000 0.5000 0.5000  12 N 2.80
3 N 0.0000 0.0000 0.5000  2 K 1.98
4 N 0.0000 0.5000 0.0000  2 K 1.98
5 N 0.5000 0.0000 0.0000  2 K 1.98

Output
ΔE_f (raw): 3.515 eV/atom
E: -19.33 eV for the cell shown